[1]
VASP calculation (PBE) on a relaxed structure of Sc2MnBr.

It has space group P4mm (No. 99), with a = 3.7559 Å, b = 3.7559 Å, c = 6.0414 Å, α = 90.00°, β = 90.00° and γ = 90.00°. The inequivalent atoms are Sc at (0.0000, 0.0000, 0.0000), Sc at (0.5000, 0.5000, 0.3412), Mn at (0.5000, 0.5000, 0.8848) and Br at (0.0000, 0.0000, 0.4908).

The calculation puts the polymorph energy (0 for the lowest one) at 31.0 kJ per mole of atoms. The density of states at the Fermi level is 1.332 states/eV/atom. The uncorrected formation energy comes out at -0.074 eV/atom.

---

[2]
VASP calculation (PBE) on a relaxed structure of ScMn2Br.

It has space group Fm-3m (No. 225), with a = 6.1389 Å, b = 6.1389 Å, c = 6.1389 Å, α = 90.00°, β = 90.00° and γ = 90.00°. The inequivalent atoms are Sc at (0.0000, 0.0000, 0.0000), Mn at (0.2500, 0.2500, 0.2500) and Br at (0.0000, 0.0000, 0.5000).

The calculation puts the polymorph energy (0 for the lowest one) at 90.4 kJ per mole of atoms. The density of states at the Fermi level is 1.327 states/eV/atom. The uncorrected formation energy comes out at 0.834 eV/atom.